1.
PrSc2Ge2: relaxed, PBE-GGA.

Cell lengths 6.790, 6.790, 6.790 Å; angles 142.48, 142.48, 54.10 degrees
Fractional positions:
Ge 0.394 0.394 0.000
Ge 0.606 0.606 0.000
Pr 0.000 0.000 0.000
Sc 0.750 0.250 0.500
Sc 0.250 0.750 0.500

As for the symmetry: I4/mmm (139). The calculation puts the energy above the most stable polymorph in this dataset at 0.0 meV/atom. As for the uncorrected energy: -6.073 eV/atom. As for the total moment: 0.518 μB/cell.

---

2.
PrSmSc2Ge2: relaxed, PBE-GGA.

Cell lengths 8.572, 8.572, 8.572 Å; angles 150.86, 150.86, 41.68 degrees
Last column: magnetic moment on the atom in μB.
Fractional positions:
Ge 0.123 0.123 0.000  -0.02
Ge 0.877 0.877 0.000  -0.02
Pr 0.323 0.323 0.000  0.23
Sc 0.501 0.001 0.500  0.24
Sc 0.001 0.501 0.500  0.19
Sm 0.676 0.676 0.000  0.24

As for the symmetry: I4mm (107). As for the uncorrected energy: -5.952 eV/atom. As for the total moment: 1.736 μB/cell.

---

3.
PrGe2Se: relaxed, PBE-GGA.

Cell lengths 5.714, 4.159, 9.273 Å; angles 90.00, 105.90, 90.00 degrees
Fractional positions:
Ge 0.139 0.250 0.007
Ge 0.866 0.750 0.459
Ge 0.134 0.250 0.541
Ge 0.861 0.750 0.993
Pr 0.725 0.250 0.205
Pr 0.275 0.750 0.795
Se 0.282 0.250 0.305
Se 0.718 0.750 0.695

As for the symmetry: P2_1/m (11). The calculation puts the energy above the most stable polymorph in this dataset at 98.1 meV/atom. As for the uncorrected energy: -4.880 eV/atom. As for the total moment: 0.038 μB/cell.

---

4.
PrGe2Se: relaxed, PBE-GGA.

Cell lengths 4.094, 6.619, 6.980 Å; angles 90.00, 90.00, 90.00 degrees
Fractional positions:
Ge 0.500 0.499 0.111
Ge 0.000 0.337 0.386
Ge 0.500 0.501 0.611
Ge 0.000 0.663 0.886
Pr 0.000 0.819 0.366
Pr 0.000 0.181 0.866
Se 0.500 0.028 0.137
Se 0.500 0.972 0.637

As for the symmetry: Pmc2_1 (26). The calculation puts the energy above the most stable polymorph in this dataset at 0.0 meV/atom. As for the uncorrected energy: -4.978 eV/atom. As for the total moment: 0.011 μB/cell.